Record 1
DFT (GGA-PBE) results for a relaxed Y2HgAu crystal.

**Calculated volume**: 102.8 Å³/cell
**Energy of formation**: -0.5124 eV per atom
**Total energy**: -18.56 eV for the cell shown

a = 3.934 Å, b = 3.934 Å, c = 6.640 Å
α = 90.00°, β = 90.00°, γ = 90.00°
Sites, in units of the cell vectors:
Au  0.000  0.000  0.481
Hg  0.500  0.500  0.760
Y  0.000  0.000  0.959
Y  0.500  0.500  0.300

***

Record 2
DFT (GGA-PBE) results for a relaxed TbPrHo5Tm2 crystal.

**Calculated volume**: 579.6 Å³/cell
**Energy of formation**: 0.1664 eV per atom
**Total energy**: -79.49 eV for the cell shown

a = 5.584 Å, b = 10.282 Å, c = 10.488 Å
α = 90.00°, β = 90.00°, γ = 105.75°
Sites, in units of the cell vectors:
Tb  0.801  0.601  0.513
Tb  0.199  0.399  0.013
Pr  0.584  0.168  0.949
Pr  0.416  0.832  0.449
Ho  0.388  0.776  0.024
Ho  0.720  0.439  0.813
Ho  0.478  0.955  0.736
Ho  0.298  0.597  0.710
Ho  0.983  0.966  0.525
Ho  0.612  0.224  0.524
Ho  0.280  0.561  0.313
Ho  0.522  0.045  0.236
Ho  0.702  0.403  0.210
Ho  0.017  0.034  0.025
Tm  0.887  0.773  0.819
Tm  0.111  0.223  0.735
Tm  0.113  0.227  0.319
Tm  0.889  0.777  0.235

***

Record 3
DFT (GGA-PBE) results for a relaxed CdTcIO2 crystal.

**Uncorrected formation energy**: 0.692 eV/atom
**Calculated volume**: 109.8 Å³/cell
**Total energy**: -19.29 eV for the cell shown
**Polymorph energy (0 for the lowest one)**: 1144 meV per atom

a = 4.200 Å, b = 4.200 Å, c = 6.224 Å
α = 90.00°, β = 90.00°, γ = 90.00°
Sites, in units of the cell vectors:
I  0.000  0.000  0.500
Tc  0.500  0.500  0.500
O  0.000  0.500  0.000
O  0.500  0.000  0.000
Cd  0.000  0.000  0.000